# Sr4LaY3Te8, optimized geometry, DFT PBE
data_Sr4LaY3Te8
_chemical_formula_sum 'Sr4 La1 Y3 Te8'
_cell_length_a 9.210
_cell_length_b 9.210
_cell_length_c 9.210
_cell_angle_alpha 58.84
_cell_angle_beta 58.84
_cell_angle_gamma 58.84
_symmetry_space_group_name_H-M 'P 1'
_symmetry_Int_Tables_number 1
loop_
_symmetry_equiv_pos_as_xyz
'x,y,z'
loop_
_atom_site_label
_atom_site_type_symbol
_atom_site_fract_x
_atom_site_fract_y
_atom_site_fract_z
Sr1 Sr 0.000 0.000 0.000
Sr2 Sr 0.000 0.500 0.500
Sr3 Sr 0.500 0.000 0.500
Sr4 Sr 0.500 0.500 0.000
La1 La 0.500 0.500 0.500
Y1 Y 0.000 0.000 0.500
Y2 Y 0.000 0.500 0.000
Y3 Y 0.500 0.000 0.000
Te1 Te 0.238 0.749 0.749
Te2 Te 0.244 0.244 0.244
Te3 Te 0.251 0.251 0.762
Te4 Te 0.251 0.762 0.251
Te5 Te 0.749 0.238 0.749
Te6 Te 0.749 0.749 0.238
Te7 Te 0.756 0.756 0.756
Te8 Te 0.762 0.251 0.251
# **Size of the total moment**: 0.0 μB per cell
# **SG**: No. 166
# **Total DFT energy (no corrections)**: -80.73 eV for the cell shown
# **Density of states at the Fermi level**: 6.68 states/eV/cell
# **Formation energy from raw total energies**: -2368.9 kJ/mol of formula units